# TlCr2MoO8

A relaxed TlCr2MoO8 crystal (PBE with a Hubbard U, the Alexandria database).

## Properties
Total DFT energy (no corrections), eV per atom: -6.66
Density of states at the Fermi level, states/eV/atom: 0.0511
Total moment, μB/atom: 0.25

abc: 5.359 5.359 8.145
angles: 94.45 94.45 63.89
Atoms (fractional coordinates):
1 Tl 0.000 0.000 0.000
2 Cr 0.368 0.368 0.714
3 Cr 0.632 0.632 0.286
4 Mo 0.000 0.000 0.500
5 O 0.204 0.204 0.575
6 O 0.213 0.720 0.675
7 O 0.280 0.787 0.325
8 O 0.318 0.318 0.902
9 O 0.682 0.682 0.098
10 O 0.720 0.213 0.675
11 O 0.787 0.280 0.325
12 O 0.796 0.796 0.425